Entry 1:
The following is a SCAN calculation of a PBEsol-optimized structure of ScTlCd4, from Alexandria via LeMat-Bulk.

Results
As for the magnetic moment: 0.00 μB/cell. As for the formation energy from the elements: -19 meV/atom. The density of states at the Fermi level is 3.1 states/eV/f.u. Its space group is No. 216.

Unit cell a=5.7487 b=5.7487 c=5.7487 alpha=60.00 beta=60.00 gamma=60.00
With the nearest neighbours (Å) after each atom.
Fractional coordinates of all 6 atoms:
Cd1 0.3758 0.3758 0.3758  6 Cd 2.86-2.89
Cd2 0.3758 0.3758 0.8726  6 Cd 2.86-2.89
Cd3 0.8726 0.3758 0.3758  6 Cd 2.86-2.89
Cd4 0.3758 0.8726 0.3758  6 Cd 2.86-2.89
Sc1 0.7500 0.7500 0.7500  12 Cd 3.37, 4 Tl 3.52
Tl1 0.0000 0.0000 0.0000  12 Cd 3.37, 4 Sc 3.52

---

Entry 2:
The following is a SCAN calculation of a PBEsol-optimized structure of Sc2TlCd, from Alexandria via LeMat-Bulk.

Results
As for the magnetic moment: 0.53 μB/cell. As for the formation energy from the elements: -464 meV/atom. The density of states at the Fermi level is 3.4 states/eV/f.u. Its space group is No. 225.

Unit cell a=4.9573 b=4.9573 c=4.9573 alpha=60.00 beta=60.00 gamma=60.00
With the nearest neighbours (Å) after each atom.
Fractional coordinates of all 4 atoms:
Sc1 0.7500 0.7500 0.7500  4 Tl 3.04, 4 Cd 3.04
Sc2 0.2500 0.2500 0.2500  4 Cd 3.04, 4 Tl 3.04
Tl1 0.0000 0.0000 0.0000  8 Sc 3.04
Cd1 0.5000 0.5000 0.5000  8 Sc 3.04

---

Entry 3:
The following is a SCAN calculation of a PBEsol-optimized structure of Sc2Tl2Cd, from Alexandria via LeMat-Bulk.

Results
As for the magnetic moment: 0.00 μB/cell. As for the formation energy from the elements: -351 meV/atom. The density of states at the Fermi level is 2.7 states/eV/f.u. Its space group is No. 127.

Unit cell a=4.0433 b=7.5184 c=7.5184 alpha=90.00 beta=90.00 gamma=90.00
With the nearest neighbours (Å) after each atom.
Fractional coordinates of all 10 atoms:
Sc1 0.5000 0.1669 0.6669  6 Tl 2.90-3.06
Sc2 0.5000 0.6669 0.8331  6 Tl 2.90-3.06
Sc3 0.5000 0.8331 0.3331  6 Tl 2.90-3.06
Sc4 0.5000 0.3331 0.1669  6 Tl 2.90-3.06
Tl1 0.0000 0.3628 0.8628  6 Sc 2.90-3.06, 2 Cd 2.92, 1 Tl 2.92
Tl2 0.0000 0.8628 0.6372  6 Sc 2.90-3.06, 2 Cd 2.92, 1 Tl 2.92
Tl3 0.0000 0.6372 0.1372  6 Sc 2.90-3.06, 2 Cd 2.92, 1 Tl 2.92
Tl4 0.0000 0.1372 0.3628  6 Sc 2.90-3.06, 2 Cd 2.92, 1 Tl 2.92
Cd1 0.0000 0.0000 0.0000  4 Tl 2.92
Cd2 0.0000 0.5000 0.5000  4 Tl 2.92